1.
Compound: Sm3Cu4As4
Source: OQMD
Functional: PBE
Structure: relaxed

Structure (CIF):
```
data_Sm3Cu4As4
_cell_length_a 4.1442
_cell_length_b 4.1442
_cell_length_c 14.5740
_cell_angle_alpha 90.00
_cell_angle_beta 90.00
_cell_angle_gamma 120.00
_space_group_name_H-M_alt 'P -3 m 1'
_space_group_IT_number 164
_space_group_name_Hall '-P 3 2"'
loop_
_atom_site_label
_atom_site_fract_x
_atom_site_fract_y
_atom_site_fract_z
_atom_site_occupancy
Sm1 0.0000 0.0000 0.0000 1
Sm2 0.0000 0.0000 0.2837 1
Cu1 0.3333 0.6667 0.1371 1
Cu2 0.3333 0.6667 0.5652 1
As1 0.3333 0.6667 0.3930 1
As2 0.3333 0.6667 0.8619 1
```

2.
Compound: Cu2SnAs
Source: OQMD
Functional: PBE
Structure: relaxed

Structure (CIF):
```
data_Cu2SnAs
_cell_length_a 6.5062
_cell_length_b 6.5062
_cell_length_c 6.5062
_cell_angle_alpha 90.00
_cell_angle_beta 90.00
_cell_angle_gamma 90.00
_space_group_name_H-M_alt 'P m -3 m'
_space_group_IT_number 221
_space_group_name_Hall '-P 4 2 3'
loop_
_atom_site_label
_atom_site_fract_x
_atom_site_fract_y
_atom_site_fract_z
_atom_site_occupancy
Cu1 0.2264 0.2264 0.2264 1
Sn1 0.0000 0.5000 0.5000 1
Sn2 0.5000 0.5000 0.5000 1
As1 0.0000 0.0000 0.0000 1
As2 0.0000 0.0000 0.5000 1
```

Total energy
In order: -5.13; -3.81
Unit: eV per atom